Entry 1:
Material: Cs2Lu7CCl18
Method: DFT, PBE-GGA
State: optimized geometry

Cell: 10.7925 10.7925 10.7925 Å, 55.49 55.49 55.49°
Fractional coordinates of all 28 atoms:
Cs  0.2239  0.2239  0.2239
Cs  0.7761  0.7761  0.7761
Lu  0.2191  0.8246  0.1115
Lu  0.8246  0.1115  0.2191
Lu  0.1754  0.8885  0.7809
Lu  0.7809  0.1754  0.8885
Lu  0.5000  0.5000  0.5000
Lu  0.8885  0.7809  0.1754
Lu  0.1115  0.2191  0.8246
C  0.0000  0.0000  0.0000
Cl  0.8784  0.4160  0.7132
Cl  0.6481  0.2236  0.4635
Cl  0.6571  0.9499  0.0625
Cl  0.0501  0.9375  0.3429
Cl  0.4635  0.6481  0.2236
Cl  0.7132  0.8784  0.4160
Cl  0.5840  0.2868  0.1216
Cl  0.7764  0.5365  0.3519
Cl  0.0625  0.6571  0.9499
Cl  0.4160  0.7132  0.8784
Cl  0.2868  0.1216  0.5840
Cl  0.1216  0.5840  0.2868
Cl  0.9375  0.3429  0.0501
Cl  0.3519  0.7764  0.5365
Cl  0.2236  0.4635  0.6481
Cl  0.5365  0.3519  0.7764
Cl  0.3429  0.0501  0.9375
Cl  0.9499  0.0625  0.6571

Output
Uncorrected formation energy in meV per atom: -2105



Entry 2:
Material: La2PbO4
Method: DFT, PBE-GGA
State: optimized geometry

Cell: 4.6637 4.6637 7.0737 Å, 70.75 70.75 90.00°
Fractional coordinates of all 7 atoms:
Pb  0.0000  0.0000  0.0000
O  0.2051  0.2051  0.5899
O  0.7949  0.7949  0.4101
O  0.0000  0.5000  0.0000
O  0.5000  0.0000  0.0000
La  0.3671  0.3671  0.2658
La  0.6329  0.6329  0.7342

Output
Uncorrected formation energy in meV per atom: -2180



> Which of these has the highest uncorrected formation energy?

Cs2Lu7CCl18



Please write out number 2 again, unchanged.
Material: La2PbO4
Method: DFT, PBE-GGA
State: optimized geometry

Cell: 4.6637 4.6637 7.0737 Å, 70.75 70.75 90.00°
Fractional coordinates of all 7 atoms:
Pb  0.0000  0.0000  0.0000
O  0.2051  0.2051  0.5899
O  0.7949  0.7949  0.4101
O  0.0000  0.5000  0.0000
O  0.5000  0.0000  0.0000
La  0.3671  0.3671  0.2658
La  0.6329  0.6329  0.7342

Output
Uncorrected formation energy in meV per atom: -2180



> What is the uncorrected formation energy in the second record?

-2180 meV per atom